Computed, not measured: an optimized crystal structure of Ho8Er3Sc2 at the PBE level of DFT.

Cell lengths 6.6139, 9.2642, 9.2642 Å; angles 58.24, 62.95, 62.95 degrees
With the nearest neighbours (Å) after each atom.
Atoms (fractional coordinates):
1 Ho 0.0392 0.5907 0.5907  4 Ho 3.24-3.42, 2 Er 3.38, 1 Sc 3.45
2 Ho 0.9608 0.4093 0.4093  4 Ho 3.24-3.42, 2 Er 3.38, 1 Sc 3.45
3 Ho 0.0139 0.1900 0.1900  1 Er 3.08, 2 Sc 3.19-3.43, 3 Ho 3.38-3.43
4 Ho 0.9861 0.8100 0.8100  1 Er 3.08, 2 Sc 3.19-3.43, 3 Ho 3.38-3.43
5 Ho 0.5484 0.5612 0.1986  4 Ho 3.27-3.60, 2 Sc 3.29-3.41, 2 Er 3.37-3.39
6 Ho 0.5484 0.1986 0.5612  4 Ho 3.27-3.60, 2 Sc 3.29-3.41, 2 Er 3.37-3.39
7 Ho 0.4516 0.8014 0.4388  4 Ho 3.27-3.60, 2 Sc 3.29-3.41, 2 Er 3.37-3.39
8 Ho 0.4516 0.4388 0.8014  4 Ho 3.27-3.60, 2 Sc 3.29-3.41, 2 Er 3.37-3.39
9 Er 0.5000 0.0000 0.0000  6 Ho 3.08-3.39, 2 Sc 3.33
10 Er 0.0000 0.1707 0.8293  1 Er 3.08, 4 Ho 3.37-3.38
11 Er 0.0000 0.8293 0.1707  1 Er 3.08, 4 Ho 3.37-3.38
12 Sc 0.5166 0.2024 0.2024  7 Ho 3.19-3.45, 3 Er 3.33-3.52
13 Sc 0.4834 0.7976 0.7976  7 Ho 3.19-3.45, 3 Er 3.33-3.52

Values from the calculation:
- calculated volume (Å³/atom) = 31.70
- total magnetic moment (Bohr magnetons per cell) = 0.000
- energy relative to the lowest polymorph listed for this composition (eV per formula unit) = 0.00
- ρ (g/cm3) = 7.701
- E (eV/atom) = -4.612

---

Computed, not measured: an optimized crystal structure of Ho2ErSc8 at the PBE level of DFT.

Cell lengths 5.4860, 8.6944, 9.0977 Å; angles 61.46, 72.50, 51.01 degrees
With the nearest neighbours (Å) after each atom.
Atoms (fractional coordinates):
1 Ho 0.0000 0.3094 0.3813  12 Sc 3.23-3.47
2 Ho 0.0000 0.6906 0.6187  12 Sc 3.23-3.47
3 Er 0.5000 0.0000 0.0000  4 Sc 3.23-3.61
4 Sc 0.7766 0.0970 0.2552  6 Sc 3.04-3.36, 1 Ho 3.28
5 Sc 0.7766 0.3522 0.7448  6 Sc 3.04-3.36, 1 Ho 3.28
6 Sc 0.2446 0.4971 0.0000  2 Sc 2.65-2.83
7 Sc 0.5000 0.7979 0.4043  1 Er 3.23, 4 Ho 3.23-3.38, 6 Sc 3.30-3.36
8 Sc 0.5000 0.2021 0.5957  1 Er 3.23, 4 Ho 3.23-3.38, 6 Sc 3.30-3.36
9 Sc 0.7554 0.5029 0.0000  2 Sc 2.65-2.83
10 Sc 0.2234 0.6478 0.2552  6 Sc 3.04-3.36, 1 Ho 3.28
11 Sc 0.2234 0.9030 0.7448  6 Sc 3.04-3.36, 1 Ho 3.28

Values from the calculation:
- calculated volume (Å³/atom) = 26.94
- total magnetic moment (Bohr magnetons per cell) = 0.002
- ρ (g/cm3) = 4.802
- E (eV/atom) = -5.714

---

Computed, not measured: an optimized crystal structure of Ho2ErSc at the PBE level of DFT.

Cell lengths 3.4659, 3.4659, 11.3814 Å; angles 81.24, 81.24, 60.00 degrees
With the nearest neighbours (Å) after each atom.
Atoms (fractional coordinates):
1 Sc 0.0000 0.0000 0.0000  6 Ho 3.37, 6 Sc 3.47
2 Ho 0.7474 0.7474 0.7579  3 Sc 3.37, 6 Ho 3.47, 3 Er 3.52
3 Ho 0.2526 0.2526 0.2421  3 Sc 3.37, 6 Ho 3.47, 3 Er 3.52
4 Er 0.5000 0.5000 0.5000  6 Er 3.47, 6 Ho 3.52

Values from the calculation:
- calculated volume (Å³/atom) = 29.14
- total magnetic moment (Bohr magnetons per cell) = 0.000
- energy relative to the lowest polymorph listed for this composition (eV per formula unit) = 0.06
- ρ (g/cm3) = 7.723
- E (eV/atom) = -4.968

---

Computed, not measured: an optimized crystal structure of Ho9Er2Sc at the PBE level of DFT.

Cell lengths 4.9546, 4.9546, 14.8314 Å; angles 90.00, 90.00, 90.00 degrees
With the nearest neighbours (Å) after each atom.
Atoms (fractional coordinates):
1 Ho 0.5000 0.5000 0.0000  8 Ho 3.46, 4 Sc 3.50
2 Ho 0.5000 0.5000 0.3312  4 Er 3.50, 8 Ho 3.52
3 Ho 0.5000 0.5000 0.6688  4 Er 3.50, 8 Ho 3.52
4 Ho 0.5000 0.0000 0.1628  2 Sc 3.46, 8 Ho 3.46-3.52, 2 Er 3.52
5 Ho 0.5000 0.0000 0.5000  8 Ho 3.50-3.52, 4 Er 3.52
6 Ho 0.5000 0.0000 0.8372  8 Ho 3.46-3.52, 2 Sc 3.46, 2 Er 3.52
7 Ho 0.0000 0.5000 0.1628  8 Ho 3.46-3.52, 2 Sc 3.46, 2 Er 3.52
8 Ho 0.0000 0.5000 0.5000  8 Ho 3.50-3.52, 4 Er 3.52
9 Ho 0.0000 0.5000 0.8372  8 Ho 3.46-3.52, 2 Sc 3.46, 2 Er 3.52
10 Er 0.0000 0.0000 0.3317  12 Ho 3.50-3.52
11 Er 0.0000 0.0000 0.6683  12 Ho 3.50-3.52
12 Sc 0.0000 0.0000 0.0000  12 Ho 3.46-3.50

Values from the calculation:
- calculated volume (Å³/atom) = 30.34
- total magnetic moment (Bohr magnetons per cell) = 0.000
- ρ (g/cm3) = 8.501
- E (eV/atom) = -4.692

---

Computed, not measured: an optimized crystal structure of Ho8Er4Sc at the PBE level of DFT.

Cell lengths 7.1983, 7.1984, 9.8380 Å; angles 90.00, 111.46, 120.00 degrees
With the nearest neighbours (Å) after each atom.
Atoms (fractional coordinates):
1 Ho 0.5660 0.7830 0.3490  9 Ho 3.60-3.62, 3 Er 3.74
2 Ho 0.4340 0.2170 0.6510  9 Ho 3.60-3.62, 3 Er 3.74
3 Ho 0.5069 0.2534 0.3074  1 Sc 2.85
4 Ho 0.9460 0.1995 0.6926  1 Sc 2.85
5 Ho 0.4931 0.7466 0.6926  1 Sc 2.85
6 Ho 0.9460 0.7466 0.6926  1 Sc 2.85
7 Ho 0.0540 0.2534 0.3074  1 Sc 2.85
8 Ho 0.0540 0.8005 0.3074  1 Sc 2.85
9 Er 0.0000 0.0000 0.0000  6 Ho 3.33, 6 Er 3.60
10 Er 0.0000 0.5000 0.0000  6 Ho 3.50-3.74, 6 Er 3.60
11 Er 0.5000 0.5000 0.0000  6 Ho 3.50-3.74, 6 Er 3.60
12 Er 0.5000 0.0000 0.0000  6 Ho 3.50-3.74, 6 Er 3.60
13 Sc 0.0000 0.5000 0.5000  6 Ho 2.85

Values from the calculation:
- calculated volume (Å³/atom) = 30.78
- total magnetic moment (Bohr magnetons per cell) = 0.000
- ρ (g/cm3) = 8.438
- E (eV/atom) = -4.509

---

Computed, not measured: an optimized crystal structure of Ho2Er5Sc2 at the PBE level of DFT.

Cell lengths 8.2385, 6.8501, 10.9931 Å; angles 108.15, 112.01, 90.00 degrees
With the nearest neighbours (Å) after each atom.
Atoms (fractional coordinates):
1 Ho 0.0000 0.0655 0.0000  4 Sc 3.15-3.49, 4 Er 3.42
2 Ho 0.5000 0.5655 0.0000  4 Sc 3.15-3.49, 4 Er 3.42
3 Ho 0.1948 0.2854 0.5000  11 Er 3.28-3.65
4 Ho 0.8052 0.7854 0.5000  11 Er 3.28-3.65
5 Er 0.1189 0.6736 0.7805  4 Ho 3.42-3.65, 4 Er 3.44-3.68, 3 Sc 3.46-3.66
6 Er 0.8811 0.8931 0.2195  4 Ho 3.42-3.65, 4 Er 3.44-3.68, 3 Sc 3.46-3.66
7 Er 0.1616 0.1736 0.7805  4 Ho 3.42-3.65, 4 Er 3.44-3.68, 3 Sc 3.46-3.66
8 Er 0.8384 0.3931 0.2195  4 Ho 3.42-3.65, 4 Er 3.44-3.68, 3 Sc 3.46-3.66
9 Er 0.4153 0.9479 0.3301  2 Sc 3.07-3.09, 5 Er 3.26-3.43, 1 Ho 3.44
10 Er 0.5847 0.6178 0.6699  2 Sc 3.07-3.09, 5 Er 3.26-3.43, 1 Ho 3.44
11 Er 0.4147 0.4479 0.3301  2 Sc 3.07-3.09, 5 Er 3.26-3.43, 1 Ho 3.44
12 Er 0.5853 0.1178 0.6699  2 Sc 3.07-3.09, 5 Er 3.26-3.43, 1 Ho 3.44
13 Er 0.2036 0.7817 0.5000  3 Ho 3.28-3.45, 6 Er 3.39-3.53
14 Er 0.7964 0.2817 0.5000  3 Ho 3.28-3.45, 6 Er 3.39-3.53
15 Sc 0.1730 0.5772 0.0832  1 Sc 2.69
16 Sc 0.8270 0.4939 0.9167  1 Sc 2.69
17 Sc 0.4102 0.0772 0.0832  1 Sc 2.69
18 Sc 0.5898 0.9939 0.9168  1 Sc 2.69

Values from the calculation:
- calculated volume (Å³/atom) = 30.10
- total magnetic moment (Bohr magnetons per cell) = 0.000
- energy relative to the lowest polymorph listed for this composition (eV per formula unit) = 0.98
- ρ (g/cm3) = 7.700
- E (eV/atom) = -4.744

---

Repeat the fourth record exactly.
Computed, not measured: an optimized crystal structure of Ho9Er2Sc at the PBE level of DFT.

Cell lengths 4.9546, 4.9546, 14.8314 Å; angles 90.00, 90.00, 90.00 degrees
With the nearest neighbours (Å) after each atom.
Atoms (fractional coordinates):
1 Ho 0.5000 0.5000 0.0000  8 Ho 3.46, 4 Sc 3.50
2 Ho 0.5000 0.5000 0.3312  4 Er 3.50, 8 Ho 3.52
3 Ho 0.5000 0.5000 0.6688  4 Er 3.50, 8 Ho 3.52
4 Ho 0.5000 0.0000 0.1628  2 Sc 3.46, 8 Ho 3.46-3.52, 2 Er 3.52
5 Ho 0.5000 0.0000 0.5000  8 Ho 3.50-3.52, 4 Er 3.52
6 Ho 0.5000 0.0000 0.8372  8 Ho 3.46-3.52, 2 Sc 3.46, 2 Er 3.52
7 Ho 0.0000 0.5000 0.1628  8 Ho 3.46-3.52, 2 Sc 3.46, 2 Er 3.52
8 Ho 0.0000 0.5000 0.5000  8 Ho 3.50-3.52, 4 Er 3.52
9 Ho 0.0000 0.5000 0.8372  8 Ho 3.46-3.52, 2 Sc 3.46, 2 Er 3.52
10 Er 0.0000 0.0000 0.3317  12 Ho 3.50-3.52
11 Er 0.0000 0.0000 0.6683  12 Ho 3.50-3.52
12 Sc 0.0000 0.0000 0.0000  12 Ho 3.46-3.50

Values from the calculation:
- calculated volume (Å³/atom) = 30.34
- total magnetic moment (Bohr magnetons per cell) = 0.000
- ρ (g/cm3) = 8.501
- E (eV/atom) = -4.692